(1)
Density functional theory data (PBE) for a relaxed LaPtSe2 crystal.

```
LaPtSe2
1.0
7.560 -0.028 -0.017
6.377 4.060 -0.017
6.377 1.845 3.617
Se Pt La
2 1 1
Direct
0.044 0.044 0.044
0.233 0.233 0.233
0.730 0.730 0.730
0.494 0.494 0.494
```

Values from the calculation:
N(E_F) ... 1.250 states/eV per atom
Space-group type ... R3m, No. 160
Polymorph energy (0 for the lowest one) ... 0.137 eV per atom

=====

(2)
Density functional theory data (PBE) for a relaxed LaPtSe2 crystal.

```
LaPtSe2
1.0
-3.188 -0.176 -4.972
-0.515 -5.037 -3.046
-0.539 1.909 5.566
Se La Pt
2 1 1
Direct
0.250 0.750 0.500
0.000 0.000 0.000
0.500 0.500 0.000
0.750 0.250 0.500
```

Values from the calculation:
N(E_F) ... 0.568 states/eV per atom
Space-group type ... I-4m2, No. 119
Polymorph energy (0 for the lowest one) ... 0.295 eV per atom

=====

(3)
Density functional theory data (PBE) for a relaxed La2PtSe crystal.

```
La2PtSe
1.0
-2.032 2.871 -2.302
-4.173 -0.236 -0.449
-2.978 5.195 5.269
La Se Pt
2 1 1
Direct
0.259 0.259 0.224
0.075 0.075 0.774
0.499 0.499 0.503
0.667 0.667 0.998
```

Values from the calculation:
N(E_F) ... 0.512 states/eV per atom
Space-group type ... R3m, No. 160
Calculated total energy ... -6.330 eV/atom

=====

(4)
Density functional theory data (PBE) for a relaxed La2PtSe crystal.

```
La2PtSe
1.0
-2.449 -2.654 -2.174
0.281 -4.153 0.666
-5.953 -1.785 4.780
Pt Se La
1 1 2
Direct
0.250 0.250 0.250
0.750 0.750 0.750
0.993 0.993 0.019
0.507 0.507 0.481
```

Values from the calculation:
N(E_F) ... 0.612 states/eV per atom
Space-group type ... C2/m, No. 12
Calculated total energy ... -6.391 eV/atom